No. 1
VASP calculation (PBE) on a geometry-optimized KBeOs2 structure.

The formation energy comes out at 0.581 eV per atom.

abc: 2.8844 2.8844 8.3357
angles: 90.00 90.00 90.00
Space group P4mm (No. 99)
Unique sites:
K 0.0000 0.0000 0.0000 [1 per cell]
Be 0.5000 0.5000 0.6633 [1 per cell]
Os 0.0000 0.0000 0.5293 [1 per cell]
Os 0.5000 0.5000 0.3276 [1 per cell]

=====

No. 2
VASP calculation (PBE) on a geometry-optimized CdS structure.

The value obtained for the formation energy from raw total energies is -0.50 eV/atom.

abc: 8.3793 11.3882 11.5059
angles: 90.00 90.00 90.00
Space group Fddd (No. 70, origin choice 2)
Unique sites:
Cd 0.1250 0.2815 0.1250 [16 per cell]
S 0.1250 0.1250 0.2936 [16 per cell]

=====

No. 3
VASP calculation (PBE) on a geometry-optimized Re2HgSe structure.

The value obtained for the formation energy from raw total energies is 0.75 eV/atom.

abc: 2.9567 2.9567 26.2866
angles: 90.00 90.00 120.00
Space group R-3m (No. 166, hexagonal axes)
Unique sites:
Re 0.0000 0.0000 0.2397 [6 per cell]
Hg 0.0000 0.0000 0.0000 [3 per cell]
Se 0.0000 0.0000 0.5000 [3 per cell]

=====

No. 4
VASP calculation (PBE) on a geometry-optimized Ba2TlGaAu6 structure.

The formation energy comes out at -0.434 eV per atom.

abc: 12.9296 6.1568 8.9731
angles: 90.00 130.31 90.00
Space group C2/m (No. 12)
Unique sites:
Ba 0.2451 0.0000 0.2023 [4 per cell]
Tl 0.0000 0.5000 0.0000 [2 per cell]
Ga 0.0000 0.0000 0.5000 [2 per cell]
Au 0.0176 0.2517 0.2850 [8 per cell]
Au 0.2462 0.0000 0.6043 [4 per cell]